1:
First-principles (PBE-GGA) data for a geometry-optimized LiCdOF2 structure, as listed in Alexandria via LeMat-Bulk.

Structure (POSCAR):
```
LiCdOF2
1.0
4.422 0.000 0.000
0.000 4.422 0.000
0.000 0.000 4.177
Li Cd O F
1 1 1 2
Cartesian
0.000 0.000 0.000 Li
2.211 2.211 2.088 Cd
2.211 2.211 0.000 O
0.000 2.211 2.088 F
2.211 0.000 2.088 F
```

## Properties
SG ... P4/mmm (123)
Calculated volume ... 16.34 A^3/atom
Crystal system ... tetragonal

***

2:
First-principles (PBE-GGA) data for a geometry-optimized LiCdOF2 structure, as listed in Alexandria via LeMat-Bulk.

Structure (POSCAR):
```
LiCdOF2
1.0
3.650 0.000 0.000
0.000 3.650 0.000
0.000 0.000 4.075
Li Cd O F
1 1 1 2
Cartesian
0.000 0.000 0.000 Li
1.825 1.825 2.038 Cd
0.000 0.000 2.038 O
0.000 1.825 0.000 F
1.825 0.000 0.000 F
```

## Properties
SG ... P4/mmm (123)
Calculated volume ... 10.86 A^3/atom
Crystal system ... tetragonal

***

What should be chosen as the least stable of them? Choose 1.

***

1:
First-principles (PBE-GGA) data for a geometry-optimized MgCd2F structure, as listed in Alexandria via LeMat-Bulk.

Structure (POSCAR):
```
MgCd2F
1.0
-3.948 3.948 2.630
3.948 -3.948 2.630
3.948 3.948 -2.630
Mg Cd F
2 4 2
Cartesian
0.000 0.000 0.000 Mg
0.000 3.948 1.315 Mg
1.974 -1.540 1.972 Cd
2.408 1.974 0.657 Cd
1.974 5.488 -0.657 Cd
1.540 1.974 3.287 Cd
3.948 0.000 1.315 F
0.000 0.000 2.630 F
```

## Properties
SG ... I-42d (122)
Calculated volume ... 20.49 A^3/atom
Crystal system ... tetragonal

***

2:
First-principles (PBE-GGA) data for a geometry-optimized MgCd2F structure, as listed in Alexandria via LeMat-Bulk.

Structure (POSCAR):
```
MgCd2F
1.0
0.000 3.465 3.465
3.465 0.000 3.465
3.465 3.465 0.000
Mg Cd F
1 2 1
Cartesian
0.000 0.000 0.000 Mg
1.733 1.733 1.733 Cd
5.198 5.198 5.198 Cd
3.465 3.465 3.465 F
```

## Properties
SG ... Fm-3m (225)
Calculated volume ... 20.80 A^3/atom
Crystal system ... cubic

***

What should be chosen as the least stable of them? Choose 2.